No. 1
First-principles (SCAN) data for LaEuAl4 at its PBEsol-relaxed geometry, as listed in the Alexandria database.

Calculated values
Formation enthalpy at 0 K (meV/atom): -488
E_tot (eV/atom): -21.792

Unit cell a=8.0015 b=8.0015 c=8.0015 alpha=90.00 beta=90.00 gamma=90.00
Space group F-43m (No. 216)
Asymmetric unit:
La: 0.0000 0.0000 0.0000 [4 per cell]
Eu: 0.2500 0.2500 0.7500 [4 per cell]
Al: 0.1250 0.1250 0.3750 [16 per cell]

=====

No. 2
First-principles (SCAN) data for Eu2Al3O8 at its PBEsol-relaxed geometry, as listed in the Alexandria database.

Calculated values
E_tot (eV/atom): -16.925

Unit cell a=8.8558 b=8.8558 c=8.8558 alpha=90.00 beta=90.00 gamma=90.00
Space group I-43m (No. 217)
Asymmetric unit:
Eu: 0.1448 0.1448 0.8552 [8 per cell]
Al: 0.0000 0.2500 0.5000 [12 per cell]
O: 0.0898 0.3621 0.3621 [24 per cell]
O: 0.1062 0.1062 0.1062 [8 per cell]

=====

No. 3
First-principles (SCAN) data for EuAl4Pt at its PBEsol-relaxed geometry, as listed in the Alexandria database.

Calculated values
Formation enthalpy at 0 K (meV/atom): -815
E_tot (eV/atom): -26.634

Unit cell a=4.2244 b=15.8951 c=6.6416 alpha=90.00 beta=90.00 gamma=90.00
Space group Cmcm (No. 63)
Asymmetric unit:
Eu: 0.0000 0.1184 0.2500 [4 per cell]
Al: 0.0000 0.0690 0.7500 [4 per cell]
Al: 0.0000 0.3153 0.0495 [8 per cell]
Al: 0.0000 0.5000 0.0000 [4 per cell]
Pt: 0.0000 0.2213 0.7500 [4 per cell]

=====

No. 4
First-principles (SCAN) data for EuAl2S4 at its PBEsol-relaxed geometry, as listed in the Alexandria database.

Calculated values
E_tot (eV/atom): -17.033

Unit cell a=5.9218 b=10.1469 c=10.2000 alpha=90.00 beta=90.00 gamma=90.00
Space group Cccm (No. 66)
Asymmetric unit:
Eu: 0.0000 0.0000 0.2500 [4 per cell]
Al: 0.0013 0.2621 0.0000 [8 per cell]
S: 0.2323 0.0818 0.5000 [8 per cell]
S: 0.2500 0.2500 0.1686 [8 per cell]

=====

Q: The highest E_tot belongs to which entry?
A: Eu2Al3O8